# Pm4BeCo3

A relaxed structure of Pm4BeCo3 (PBE, Alexandria via LeMat-Bulk).

Results
Uncorrected energy ... -44.58 eV per cell
Magnetic moment ... 1.030 μB per formula unit

Lattice parameters (Å, degrees): 3.9155 3.9840 11.2307 90.00 90.00 90.00
Closest atoms and distances in Å follow each position.
Element x y z (fractional)
Pm 0.0000 0.0000 0.0000  6 Co 2.92-2.95
Pm 0.0000 0.5000 0.4995  2 Co 2.86, 4 Be 2.96
Pm 0.5000 0.0000 0.2777  6 Co 2.94-2.96
Pm 0.5000 0.5000 0.7767  2 Be 2.92, 4 Co 2.99
Be 0.5000 0.0000 0.5872  2 Co 2.23
Co 0.0000 0.0000 0.6827  2 Be 2.23
Co 0.0000 0.5000 0.1907  2 Co 2.29
Co 0.5000 0.5000 0.0854  2 Co 2.29

---

# HoErTh2Bi5

A relaxed structure of HoErTh2Bi5 (PBE, Alexandria via LeMat-Bulk).

Results
Uncorrected energy ... -42.98 eV per cell
Magnetic moment ... 0.000 μB per formula unit

Lattice parameters (Å, degrees): 5.4054 5.4054 11.6809 90.00 90.00 90.00
Closest atoms and distances in Å follow each position.
Element x y z (fractional)
Ho 0.0000 0.0000 0.0000  6 Bi 2.70-2.96
Er 0.0000 0.0000 0.5000  2 Bi 2.88
Th 0.5000 0.5000 0.2024  9 Bi 3.48-3.87
Th 0.5000 0.5000 0.7976  9 Bi 3.48-3.87
Bi 0.0000 0.0000 0.2536  1 Er 2.88, 1 Ho 2.96
Bi 0.0000 0.0000 0.7464  1 Er 2.88, 1 Ho 2.96
Bi 0.0000 0.5000 0.0000  2 Ho 2.70
Bi 0.5000 0.0000 0.0000  2 Ho 2.70
Bi 0.5000 0.5000 0.5000  2 Th 3.48, 4 Er 3.82

---

# NaTa2BeAs

A relaxed structure of NaTa2BeAs (PBE, Alexandria via LeMat-Bulk).

Results
Uncorrected energy ... -22.78 eV per cell
Magnetic moment ... 0.000 μB per formula unit

Lattice parameters (Å, degrees): 4.8370 4.8370 3.9009 90.00 90.00 90.00
Closest atoms and distances in Å follow each position.
Element x y z (fractional)
Na 0.0000 0.0000 0.0000  2 Be 1.95
Ta 0.0000 0.5000 0.0000  2 Na 2.42
Ta 0.5000 0.0000 0.0000  2 Na 2.42
Be 0.0000 0.0000 0.5000  2 Na 1.95
As 0.5000 0.5000 0.5000  8 Ta 3.11, 4 Be 3.42